BaMgCdHg6 | PBE | relaxed

Cell and atoms, written as CIF:
```
data_BaMgCdHg6
_space_group_name_H-M_alt 'I m m a'
_space_group_IT_number 74
_space_group_name_Hall '-I 2b 2'
_cell_length_a 6.000
_cell_length_b 11.631
_cell_length_c 16.263
_cell_angle_alpha 90.00
_cell_angle_beta 90.00
_cell_angle_gamma 90.00
loop_
_atom_site_label
_atom_site_type_symbol
_atom_site_fract_x
_atom_site_fract_y
_atom_site_fract_z
Ba1 Ba 0.000 0.250 0.113
Mg1 Mg 0.000 0.000 0.500
Cd1 Cd 0.250 0.250 0.750
Hg1 Hg 0.000 0.250 0.518
Hg2 Hg 0.000 0.250 0.910
Hg3 Hg 0.248 0.012 0.655
```

For the formation energy, the calculation gives -0.14 eV per atom.

CsSbTe2Pt | PBE | relaxed

Cell and atoms, written as CIF:
```
data_CsSbTe2Pt
_space_group_name_H-M_alt 'P 4/m m m'
_space_group_IT_number 123
_space_group_name_Hall '-P 4 2'
_cell_length_a 5.746
_cell_length_b 5.746
_cell_length_c 5.154
_cell_angle_alpha 90.00
_cell_angle_beta 90.00
_cell_angle_gamma 90.00
loop_
_atom_site_label
_atom_site_type_symbol
_atom_site_fract_x
_atom_site_fract_y
_atom_site_fract_z
Cs1 Cs 0.000 0.000 0.000
Sb1 Sb 0.500 0.500 0.000
Te1 Te 0.000 0.500 0.500
Pt1 Pt 0.500 0.500 0.500
```

For the energy above the lowest structure with this stoichiometry, the calculation gives 0.000 eV/f.u.

HfSc2Pd9 | PBE | relaxed

Cell and atoms, written as CIF:
```
data_HfSc2Pd9
_space_group_name_H-M_alt 'P 4/m m m'
_space_group_IT_number 123
_space_group_name_Hall '-P 4 2'
_cell_length_a 4.005
_cell_length_b 4.005
_cell_length_c 12.050
_cell_angle_alpha 90.00
_cell_angle_beta 90.00
_cell_angle_gamma 90.00
loop_
_atom_site_label
_atom_site_type_symbol
_atom_site_fract_x
_atom_site_fract_y
_atom_site_fract_z
Hf1 Hf 0.000 0.000 0.000
Sc1 Sc 0.000 0.000 0.335
Pd1 Pd 0.000 0.500 0.165
Pd2 Pd 0.000 0.500 0.500
Pd3 Pd 0.500 0.500 0.000
Pd4 Pd 0.500 0.500 0.332
```

For the formation energy, the calculation gives -0.86 eV per atom.

Ce2NdLu | PBE | relaxed

Cell and atoms, written as CIF:
```
data_Ce2NdLu
_space_group_name_H-M_alt 'P 4/m m m'
_space_group_IT_number 123
_space_group_name_Hall '-P 4 2'
_cell_length_a 4.905
_cell_length_b 4.905
_cell_length_c 5.095
_cell_angle_alpha 90.00
_cell_angle_beta 90.00
_cell_angle_gamma 90.00
loop_
_atom_site_label
_atom_site_type_symbol
_atom_site_fract_x
_atom_site_fract_y
_atom_site_fract_z
Ce1 Ce 0.000 0.500 0.000
Nd1 Nd 0.000 0.000 0.500
Lu1 Lu 0.500 0.500 0.500
```

For the formation energy, the calculation gives 0.11 eV per atom. For the energy above the lowest structure with this stoichiometry, the calculation gives 0.000 eV/f.u.

HfF | PBE | relaxed

Cell and atoms, written as CIF:
```
data_HfF
_space_group_name_H-M_alt 'P 42/m n m'
_space_group_IT_number 136
_space_group_name_Hall '-P 4n 2n'
_cell_length_a 5.935
_cell_length_b 5.935
_cell_length_c 3.676
_cell_angle_alpha 90.00
_cell_angle_beta 90.00
_cell_angle_gamma 90.00
loop_
_atom_site_label
_atom_site_type_symbol
_atom_site_fract_x
_atom_site_fract_y
_atom_site_fract_z
Hf1 Hf 0.235 0.235 0.000
F1 F 0.131 0.869 0.000
```

For the energy above the lowest structure with this stoichiometry, the calculation gives 1.444 eV/f.u.

PrTmMo2N6 | PBE | relaxed

Cell and atoms, written as CIF:
```
data_PrTmMo2N6
_space_group_name_H-M_alt 'C 1 2/c 1'
_space_group_IT_number 15
_space_group_name_Hall '-C 2yc'
_cell_length_a 11.426
_cell_length_b 9.723
_cell_length_c 6.471
_cell_angle_alpha 90.00
_cell_angle_beta 113.99
_cell_angle_gamma 90.00
loop_
_atom_site_label
_atom_site_type_symbol
_atom_site_fract_x
_atom_site_fract_y
_atom_site_fract_z
Pr1 Pr 0.000 0.095 0.250
Tm1 Tm 0.000 0.290 0.750
Mo1 Mo 0.209 0.414 0.202
N1 N 0.114 0.116 0.669
N2 N 0.126 0.254 0.143
N3 N 0.150 0.480 0.902
```

The uncorrected energy comes out at -357.16 eV/cell.